# 1
NbFeSnOs: relaxed, PBE-GGA.

```
NbFeSnOs
1.0
0.000 3.162 3.162
3.162 0.000 3.162
3.162 3.162 0.000
Fe Os Nb Sn
1 1 1 1
Direct
0.750 0.750 0.750
0.250 0.250 0.250
0.500 0.500 0.500
0.000 0.000 0.000
```

## Properties
Excess energy over the best structure of this formula in the dataset in eV/atom: 0.000
Space-group type: No. 216

# 2
NbTlFeOs: relaxed, PBE-GGA.

```
NbTlFeOs
1.0
0.000 3.229 3.229
3.229 0.000 3.229
3.229 3.229 0.000
Nb Fe Os Tl
1 1 1 1
Direct
0.250 0.250 0.250
0.750 0.750 0.750
0.500 0.500 0.500
0.000 0.000 0.000
```

## Properties
Excess energy over the best structure of this formula in the dataset in eV/atom: 0.172
Space-group type: No. 216

# 3
NbTlFeOs: relaxed, PBE-GGA.

```
NbTlFeOs
1.0
-3.385 -1.083 2.750
-4.149 -0.528 -1.643
-1.833 -4.098 -0.199
Tl Nb Fe Os
1 1 1 1
Direct
0.000 0.000 0.000
0.500 0.500 0.500
0.750 0.750 0.750
0.250 0.250 0.250
```

## Properties
Excess energy over the best structure of this formula in the dataset in eV/atom: 0.000
Space-group type: No. 216

Total DFT energy (no corrections) across the listed records, respectively: -8.4039; -7.4379; -7.6102 eV/atom.